Below is an optimized crystal structure of NdHoAgSn, with properties calculated at the PBE level.

```
4
Lattice="0.000 3.753 3.753 3.753 0.000 3.753 3.753 3.753 0.000" Properties=species:S:1:pos:R:3 pbc="T T T"
Nd 0.000 0.000 0.000
Ho 3.753 3.753 3.753
Ag 1.877 1.877 1.877
Sn 5.630 5.630 5.630
```

Computed properties:
raw total energy	-18.22	eV/cell
crystal system	cubic

=====

Below is an optimized crystal structure of NdHoTcAg, with properties calculated at the PBE level.

```
4
Lattice="0.000 3.565 3.565 3.565 0.000 3.565 3.565 3.565 0.000" Properties=species:S:1:pos:R:3 pbc="T T T"
Nd 0.000 0.000 0.000
Ho 3.565 3.565 3.565
Tc 1.783 1.783 1.783
Ag 5.348 5.348 5.348
```

Computed properties:
raw total energy	-22.74	eV/cell
crystal system	cubic

=====

Below is an optimized crystal structure of Nd2HoTl2Ag2, with properties calculated at the PBE level.

```
7
Lattice="2.451 1.415 9.206 -2.451 1.415 9.206 0.000 -2.830 9.206" Properties=species:S:1:pos:R:3 pbc="T T T"
Nd 0.000 0.000 3.431
Nd 0.000 0.000 24.186
Ho 0.000 0.000 0.000
Tl 0.000 0.000 7.261
Tl 0.000 0.000 20.356
Ag 0.000 0.000 10.720
Ag 0.000 0.000 16.897
```

Computed properties:
raw total energy	-25.85	eV/cell
crystal system	trigonal

=====

Below is an optimized crystal structure of NdHo2Tl2Ag2, with properties calculated at the PBE level.

```
7
Lattice="2.462 1.422 8.712 -2.462 1.422 8.712 0.000 -2.843 8.712" Properties=species:S:1:pos:R:3 pbc="T T T"
Nd 0.000 0.000 0.000
Ho 0.000 0.000 3.486
Ho 0.000 0.000 22.649
Tl 0.000 0.000 6.875
Tl 0.000 0.000 19.259
Ag 0.000 0.000 11.452
Ag 0.000 0.000 14.682
```

Computed properties:
raw total energy	-25.66	eV/cell
crystal system	trigonal

=====

Below is an optimized crystal structure of NdYHoAg, with properties calculated at the PBE level.

```
4
Lattice="3.623 0.000 0.000 0.000 3.623 0.000 0.000 0.000 8.806" Properties=species:S:1:pos:R:3 pbc="T T T"
Nd 0.000 0.000 0.000
Y 1.811 1.811 6.203
Ho 1.811 1.811 2.558
Ag 0.000 0.000 4.337
```

Computed properties:
raw total energy	-19.21	eV/cell
crystal system	tetragonal

=====

Below is an optimized crystal structure of NdHoZnAg, with properties calculated at the PBE level.

```
4
Lattice="0.000 3.660 3.660 3.660 0.000 3.660 3.660 3.660 0.000" Properties=species:S:1:pos:R:3 pbc="T T T"
Nd 0.000 0.000 0.000
Ho 3.660 3.660 3.660
Zn 1.830 1.830 1.830
Ag 5.490 5.490 5.490
```

Computed properties:
energy above the most stable polymorph in this dataset	19	meV per atom
crystal system	cubic

=====

Below is an optimized crystal structure of NdHoZnAg, with properties calculated at the PBE level.

```
4
Lattice="3.641 0.000 0.000 0.000 3.641 0.000 0.000 0.000 7.345" Properties=species:S:1:pos:R:3 pbc="T T T"
Nd 0.000 0.000 0.000
Ho 0.000 0.000 3.791
Zn 1.821 1.821 5.460
Ag 1.821 1.821 2.069
```

Computed properties:
energy above the most stable polymorph in this dataset	0	meV per atom
crystal system	tetragonal

=====

Below is an optimized crystal structure of Ho2NiAg, with properties calculated at the PBE level.

```
4
Lattice="1.961 1.132 7.182 -1.961 1.132 7.182 0.000 -2.264 7.182" Properties=species:S:1:pos:R:3 pbc="T T T"
Ho 0.000 0.000 5.113
Ho 0.000 0.000 16.433
Ni 0.000 0.000 10.773
Ag 0.000 0.000 0.000
```

Computed properties:
raw total energy	-18.67	eV/cell
crystal system	trigonal

=====

Below is an optimized crystal structure of HoNiAg, with properties calculated at the PBE level.

```
6
Lattice="2.494 -4.080 0.000 2.494 4.080 0.000 0.000 0.000 5.553" Properties=species:S:1:pos:R:3 pbc="T T T"
Ho 2.494 2.791 4.165
Ho 2.494 -2.791 1.388
Ni 2.494 2.525 1.388
Ni 2.494 -2.525 4.165
Ag 2.494 0.000 0.000
Ag 2.494 0.000 2.776
```

Computed properties:
raw total energy	-28.06	eV/cell
crystal system	orthorhombic

=====

Below is an optimized crystal structure of HoNiAg, with properties calculated at the PBE level.

```
3
Lattice="-1.751 1.751 4.608 1.751 -1.751 4.608 1.751 1.751 -4.608" Properties=species:S:1:pos:R:3 pbc="T T T"
Ho 0.000 0.000 0.000
Ni 0.000 0.000 3.201
Ag 0.000 0.000 6.348
```

Computed properties:
raw total energy	-13.86	eV/cell
crystal system	tetragonal

=====

Below is an optimized crystal structure of Ho12Ni6Ag, with properties calculated at the PBE level.

```
19
Lattice="6.802 3.927 2.894 -6.802 3.927 2.894 0.000 -7.854 2.894" Properties=species:S:1:pos:R:3 pbc="T T T"
Ho -0.412 -2.106 1.469
Ho -1.617 1.410 1.469
Ho -3.214 -0.457 3.711
Ho 2.029 0.696 1.469
Ho -1.211 -3.012 4.970
Ho 2.003 -2.555 3.711
Ho -2.003 2.555 4.970
Ho 1.211 3.012 3.711
Ho -2.030 -0.696 7.211
Ho 3.214 0.457 4.970
Ho 1.617 -1.410 7.211
Ho 0.412 2.106 7.211
Ni -3.900 -2.819 4.754
Ni -4.391 1.968 3.927
Ni 0.492 -4.787 3.927
Ni -0.492 4.787 4.754
Ni 4.391 -1.968 4.754
Ni 3.900 2.819 3.927
Ag 0.000 0.000 4.340
```

Computed properties:
energy above the most stable polymorph in this dataset	123	meV per atom
crystal system	trigonal

=====

Below is an optimized crystal structure of HoNiAg, with properties calculated at the PBE level.

```
3
Lattice="4.403 0.000 0.000 -2.201 3.813 0.000 0.000 0.000 3.517" Properties=species:S:1:pos:R:3 pbc="T T T"
Ho 0.000 0.000 0.000
Ni 0.000 2.542 1.758
Ag 2.201 1.271 1.758
```

Computed properties:
raw total energy	-13.87	eV/cell
crystal system	hexagonal